# 1
Entry from Alexandria via LeMat-Bulk: Na2ZnPHO5 at its PBEsol-relaxed geometry (meta-GGA SCAN). Values from VASP.

Geometry as Quantum ESPRESSO input:
```
&SYSTEM
  ibrav = 0, nat = 40, ntyp = 5
/
ATOMIC_SPECIES
O 16.00 O.upf
Na 22.99 Na.upf
Zn 65.41 Zn.upf
H 1.01 H.upf
P 30.97 P.upf
CELL_PARAMETERS angstrom
-0.5096 -4.8452 3.1156
0.2788 -2.6930 -8.0550
9.8634 -0.6731 0.5665
ATOMIC_POSITIONS crystal
O 0.3777 0.2305 0.4335
O 0.2157 0.5791 0.6047
O 0.2606 0.1487 0.9993
O 0.7606 0.1487 0.5007
O 0.2394 0.8513 0.4993
O 0.6154 0.3585 0.6356
O 0.8846 0.6415 0.1356
O 0.5658 0.0104 0.8107
O 0.4342 0.9896 0.1893
O 0.7843 0.4209 0.3953
O 0.7157 0.5791 0.8953
O 0.9342 0.9896 0.3107
O 0.1154 0.3585 0.8644
O 0.3846 0.6415 0.3644
O 0.8777 0.2305 0.0665
O 0.7394 0.8513 0.0007
O 0.2843 0.4209 0.1047
O 0.0658 0.0104 0.6893
O 0.6223 0.7695 0.5665
O 0.1223 0.7695 0.9335
Na 0.8145 0.7017 0.3576
Na 0.1478 0.3874 0.3283
Na 0.1855 0.2983 0.6424
Na 0.3522 0.6126 0.8283
Na 0.8522 0.6126 0.6717
Na 0.6855 0.2983 0.8576
Na 0.3145 0.7017 0.1424
Na 0.6478 0.3874 0.1717
Zn 0.7267 0.9876 0.6446
Zn 0.7733 0.0124 0.1446
Zn 0.2267 0.9876 0.8554
Zn 0.2733 0.0124 0.3554
H 0.6373 0.9505 0.8804
H 0.3627 0.0495 0.1196
H 0.8627 0.0495 0.3804
H 0.1373 0.9505 0.6196
P 0.1370 0.2946 0.0072
P 0.8630 0.7054 0.9928
P 0.6370 0.2946 0.4928
P 0.3630 0.7054 0.5072
```

Properties
DOS at the Fermi energy   0.00 states/eV/f.u.
E_tot   -8.8039 eV/atom
Total moment   0.0 Bohr magnetons per cell

# 2
Entry from Alexandria via LeMat-Bulk: NaZn2P2HO8 at its PBEsol-relaxed geometry (meta-GGA SCAN). Values from VASP.

Geometry as Quantum ESPRESSO input:
```
&SYSTEM
  ibrav = 0, nat = 28, ntyp = 5
/
ATOMIC_SPECIES
H 1.01 H.upf
O 16.00 O.upf
P 30.97 P.upf
Zn 65.41 Zn.upf
Na 22.99 Na.upf
CELL_PARAMETERS angstrom
-3.5051 -3.5878 0.9762
7.5880 -4.0639 -0.4443
1.0931 3.3974 8.0548
ATOMIC_POSITIONS crystal
H 0.9270 0.4403 0.6243
H 0.0730 0.5597 0.3757
O 0.0604 0.0865 0.8356
O 0.8001 0.3200 0.5821
O 0.8765 0.3843 0.3188
O 0.8069 0.2703 0.9486
O 0.4087 0.9034 0.6548
O 0.7236 0.7379 0.8918
O 0.2764 0.2621 0.1082
O 0.1235 0.6157 0.6812
O 0.7207 0.6148 0.1298
O 0.1999 0.6800 0.4179
O 0.9396 0.9135 0.1644
O 0.1931 0.7297 0.0514
O 0.2793 0.3852 0.8702
O 0.1161 0.1979 0.4485
O 0.5913 0.0966 0.3452
O 0.8839 0.8021 0.5515
P 0.9075 0.7503 0.0607
P 0.8478 0.2472 0.4195
P 0.0925 0.2497 0.9393
P 0.1522 0.7528 0.5805
Zn 0.2252 0.1144 0.2611
Zn 0.6749 0.3829 0.1059
Zn 0.7748 0.8856 0.7389
Zn 0.3251 0.6171 0.8941
Na 0.4161 0.1880 0.6907
Na 0.5839 0.8120 0.3093
```

Properties
DOS at the Fermi energy   0.00 states/eV/f.u.
E_tot   -9.6820 eV/atom
Total moment   0.0 Bohr magnetons per cell

# 3
Entry from Alexandria via LeMat-Bulk: Na4PuH7O9 at its PBEsol-relaxed geometry (meta-GGA SCAN). Values from VASP.

Geometry as Quantum ESPRESSO input:
```
&SYSTEM
  ibrav = 0, nat = 42, ntyp = 4
/
ATOMIC_SPECIES
O 16.00 O.upf
H 1.01 H.upf
Pu 244.00 Pu.upf
Na 22.99 Na.upf
CELL_PARAMETERS angstrom
5.9133 -0.1822 0.0024
-2.3855 7.5728 0.0556
-2.0594 -3.1846 10.1293
ATOMIC_POSITIONS crystal
O 0.8256 0.9566 0.2750
O 0.8456 0.2797 0.2438
O 0.4233 0.5540 0.2534
O 0.5767 0.4460 0.7466
O 0.2125 0.4644 0.9060
O 0.7603 0.1400 0.8801
O 0.7478 0.0751 0.6379
O 0.6207 0.7799 0.8913
O 0.8870 0.6121 0.3898
O 0.4797 0.3011 0.4032
O 0.2397 0.8600 0.1199
O 0.5203 0.6989 0.5968
O 0.1544 0.7203 0.7562
O 0.1744 0.0434 0.7250
O 0.2522 0.9249 0.3621
O 0.3793 0.2201 0.1087
O 0.7875 0.5356 0.0940
O 0.1130 0.3879 0.6102
H 0.9987 0.0379 0.6938
H 0.7517 0.1171 0.7791
H 0.6010 0.8376 0.6263
H 0.1350 0.8143 0.3775
H 0.8369 0.0807 0.2634
H 0.0013 0.9621 0.3062
H 0.3990 0.1624 0.3737
H 0.2483 0.8829 0.2209
H 0.7134 0.0117 0.8900
H 0.2866 0.9883 0.1100
H 0.9325 0.6540 0.1373
H 0.1631 0.9193 0.7366
H 0.8650 0.1857 0.6225
H 0.0675 0.3460 0.8627
Pu 0.6331 0.4153 0.2497
Pu 0.3669 0.5847 0.7503
Na 0.5294 0.7266 0.0909
Na 0.7928 0.5367 0.5827
Na 0.0494 0.3389 0.0797
Na 0.6126 0.8574 0.4187
Na 0.9506 0.6611 0.9203
Na 0.2072 0.4633 0.4173
Na 0.4706 0.2734 0.9091
Na 0.3874 0.1426 0.5813
```

Properties
DOS at the Fermi energy   0.00 states/eV/f.u.
E_tot   -11.5295 eV/atom
Total moment   2.3 Bohr magnetons per cell

Copy entry 3 word for word.
Entry from Alexandria via LeMat-Bulk: Na4PuH7O9 at its PBEsol-relaxed geometry (meta-GGA SCAN). Values from VASP.

Geometry as Quantum ESPRESSO input:
```
&SYSTEM
  ibrav = 0, nat = 42, ntyp = 4
/
ATOMIC_SPECIES
O 16.00 O.upf
H 1.01 H.upf
Pu 244.00 Pu.upf
Na 22.99 Na.upf
CELL_PARAMETERS angstrom
5.9133 -0.1822 0.0024
-2.3855 7.5728 0.0556
-2.0594 -3.1846 10.1293
ATOMIC_POSITIONS crystal
O 0.8256 0.9566 0.2750
O 0.8456 0.2797 0.2438
O 0.4233 0.5540 0.2534
O 0.5767 0.4460 0.7466
O 0.2125 0.4644 0.9060
O 0.7603 0.1400 0.8801
O 0.7478 0.0751 0.6379
O 0.6207 0.7799 0.8913
O 0.8870 0.6121 0.3898
O 0.4797 0.3011 0.4032
O 0.2397 0.8600 0.1199
O 0.5203 0.6989 0.5968
O 0.1544 0.7203 0.7562
O 0.1744 0.0434 0.7250
O 0.2522 0.9249 0.3621
O 0.3793 0.2201 0.1087
O 0.7875 0.5356 0.0940
O 0.1130 0.3879 0.6102
H 0.9987 0.0379 0.6938
H 0.7517 0.1171 0.7791
H 0.6010 0.8376 0.6263
H 0.1350 0.8143 0.3775
H 0.8369 0.0807 0.2634
H 0.0013 0.9621 0.3062
H 0.3990 0.1624 0.3737
H 0.2483 0.8829 0.2209
H 0.7134 0.0117 0.8900
H 0.2866 0.9883 0.1100
H 0.9325 0.6540 0.1373
H 0.1631 0.9193 0.7366
H 0.8650 0.1857 0.6225
H 0.0675 0.3460 0.8627
Pu 0.6331 0.4153 0.2497
Pu 0.3669 0.5847 0.7503
Na 0.5294 0.7266 0.0909
Na 0.7928 0.5367 0.5827
Na 0.0494 0.3389 0.0797
Na 0.6126 0.8574 0.4187
Na 0.9506 0.6611 0.9203
Na 0.2072 0.4633 0.4173
Na 0.4706 0.2734 0.9091
Na 0.3874 0.1426 0.5813
```

Properties
DOS at the Fermi energy   0.00 states/eV/f.u.
E_tot   -11.5295 eV/atom
Total moment   2.3 Bohr magnetons per cell

The highest total moment belongs to which entry? Na4PuH7O9